HoZnI PBE relaxed; D(E_F) = 0.7170 states/eV per atom; calculated volume = 31.06 Å³ per atom; space group = No. 12; calculated total energy = -19.62 eV per cell
1.0
4.241 -0.019 -0.027
-2.104 3.682 0.027
-2.024 -1.274 11.975
Ho Zn I
2 2 2
direct
0.896 0.447 0.343
0.104 0.553 0.657
0.328 0.164 0.493
0.672 0.836 0.507
0.550 0.277 0.826
0.450 0.723 0.174